[1]
GGA-PBE LiMgSb2, optimized geometry; V = 95 Å³ per cell; space-group type = No. 25; uncorrected energy = -3.1305 eV/atom
1.0
3.2255 0.0000 0.0000
0.0000 4.8087 0.0000
0.0000 0.0000 6.1248
Li Mg Sb
1 1 2
direct
0.0000 0.0000 0.0000
0.5000 0.5000 0.3554
0.0000 0.0000 0.5000
0.5000 0.5000 0.8756

[2]
GGA-PBE LiMg2Sb, optimized geometry; V = 89 Å³ per cell; space-group type = No. 6; uncorrected energy = -2.5307 eV/atom
1.0
3.3563 0.0000 0.0000
0.0000 4.1998 0.0000
-0.0252 0.0000 6.2808
Li Mg Sb
1 2 1
direct
0.0000 0.0000 0.0000
0.0009 0.0000 0.4908
0.5017 0.5000 0.7479
0.5018 0.5000 0.2333

[3]
GGA-PBE LiMgSb2, optimized geometry; V = 93 Å³ per cell; space-group type = No. 47; uncorrected energy = -3.2146 eV/atom
1.0
4.1460 0.0000 0.0000
0.0000 4.5984 0.0000
0.0000 0.0000 4.8812
Li Mg Sb
1 1 2
direct
0.0000 0.0000 0.0000
0.0000 0.5000 0.5000
0.5000 0.0000 0.5000
0.5000 0.5000 0.0000

[4]
GGA-PBE Li2Mg2Sb, optimized geometry; V = 208 Å³ per cell; space-group type = No. 127; energy relative to the lowest polymorph listed for this composition = 0 meV/atom
1.0
6.8451 0.0000 0.0000
0.0000 6.8451 0.0000
0.0000 0.0000 4.4478
Li Mg Sb
4 4 2
direct
0.1373 0.3627 0.0000
0.3627 0.8627 0.0000
0.6373 0.1373 0.0000
0.8627 0.6373 0.0000
0.1656 0.6656 0.5000
0.3344 0.1656 0.5000
0.6656 0.8344 0.5000
0.8344 0.3344 0.5000
0.0000 0.0000 0.0000
0.5000 0.5000 0.0000